Here is Fe4Co3 after structural relaxation from Alexandria. Energies are from GGA-PBEsol.

abc: 6.0686 6.0686 6.0686
angles: 38.05 38.05 38.05
Closest atoms and distances in Å follow each position.
Sites, in units of the cell vectors:
Fe1 0.0720 0.0720 0.0720  4 Co 2.40-2.42, 4 Fe 2.42-2.43
Fe2 0.3573 0.3573 0.3573  2 Co 2.41, 6 Fe 2.42
Fe3 0.6427 0.6427 0.6427  2 Co 2.41, 6 Fe 2.42
Fe4 0.9280 0.9280 0.9280  4 Co 2.40-2.42, 4 Fe 2.42-2.43
Co1 0.2141 0.2141 0.2141  5 Fe 2.40-2.42, 3 Co 2.42
Co2 0.5000 0.5000 0.5000  2 Fe 2.41, 6 Co 2.42
Co3 0.7859 0.7859 0.7859  5 Fe 2.40-2.42, 3 Co 2.42

Results
N(E_F) ... 6.00 states/eV per cell
Space-group type ... R-3m, No. 166
E_tot ... -8.406 eV per atom
Crystal system ... trigonal
ΔE to the lowest computed polymorph ... 0.014 eV/atom